Entry 1:
DFT (PBE) results for NaLiZrF6 after structural relaxation.

The calculation puts the total energy at -5.91 eV per atom.

The structure belongs to space group P-31c (No. 163); the cell edges are 5.4154, 5.4154 and 9.8964 Å and the angles 90.00°, 90.00° and 120.00°. Symmetry generates all atoms from Na at (0.0000, 0.0000, 0.0000), Li at (0.3333, 0.6667, 0.2500), Zr at (0.3333, 0.6667, 0.7500) and F at (0.0045, 0.3605, 0.6385).

---

Entry 2:
DFT (PBE) results for Tm6IrS5 after structural relaxation.

The calculation puts the total energy at -6.44 eV per atom.

The structure belongs to space group C2/m (No. 12); the cell edges are 6.781, 11.738 and 6.729 Å and the angles 90.00°, 109.65° and 90.00°. Symmetry generates all atoms from Tm at (0.243, 0.163, 0.243), Tm at (0.244, 0.000, 0.753), Ir at (0.000, 0.000, 0.000), S at (0.000, 0.173, 0.500), S at (0.000, 0.334, 0.000) and S at (0.000, 0.500, 0.500).

---

Entry 3:
DFT (PBE) results for Sr2CaAgPd after structural relaxation.

The calculation puts the formation energy at -220 meV per atom. The calculation puts the total energy at -2.90 eV per atom.

The structure belongs to space group P4/mmm (No. 123); the cell edges are 5.864, 5.864 and 5.493 Å and the angles 90.00°, 90.00° and 90.00°. Symmetry generates all atoms from Sr at (0.000, 0.500, 0.000), Ca at (0.000, 0.000, 0.500), Ag at (0.500, 0.500, 0.500) and Pd at (0.000, 0.000, 0.000).

---

Entry 4:
DFT (PBE) results for Tb8GaPt2 after structural relaxation.

The calculation puts the formation energy at -484 meV per atom. The calculation puts the total energy at -5.23 eV per atom.

The structure belongs to space group Cm (No. 8); the cell edges are 8.602, 13.289 and 5.603 Å and the angles 90.00°, 105.77° and 90.00°. Symmetry generates all atoms from Tb at (0.000, 0.000, 0.000), Tb at (0.079, 0.374, 0.771), Tb at (0.167, 0.126, 0.587), Tb at (0.256, 0.500, 0.380), Tb at (0.370, 0.234, 0.187), Ga at (0.374, 0.000, 0.265) and Pt at (0.374, 0.306, 0.687).

---

Entry 5:
DFT (PBE) results for Ca5Bi2H after structural relaxation.

The calculation puts the total energy at -3.16 eV per atom.

The structure belongs to space group I4mm (No. 107); the cell edges are 7.182, 7.182 and 9.489 Å and the angles 90.00°, 90.00° and 90.00°. Symmetry generates all atoms from Ca at (0.000, 0.000, 0.000), Ca at (0.249, 0.249, 0.250), Bi at (0.000, 0.500, 0.499) and H at (0.000, 0.000, 0.762).

---

Entry 6:
DFT (PBE) results for BiIr3S after structural relaxation.

As for the energy above the most stable polymorph in this dataset: 0 kJ/mol of formula units. The calculation puts the total energy at -6.21 eV per atom.

The structure belongs to space group Pm-3m (No. 221); the cell edges are 4.527, 4.527 and 4.527 Å and the angles 90.00°, 90.00° and 90.00°. Symmetry generates all atoms from Bi at (0.000, 0.000, 0.000), Ir at (0.000, 0.500, 0.500) and S at (0.500, 0.500, 0.500).

---

Entry 7:
DFT (PBE) results for Mo3Cl after structural relaxation.

As for the energy above the most stable polymorph in this dataset: 19 kJ/mol of formula units. The calculation puts the total energy at -8.28 eV per atom.

The structure belongs to space group Cmcm (No. 63); the cell edges are 9.343, 9.348 and 3.136 Å and the angles 90.00°, 90.00° and 90.00°. Symmetry generates all atoms from Mo at (0.000, 0.115, 0.250), Mo at (0.241, 0.111, 0.750) and Cl at (0.000, 0.370, 0.250).

---

Entry 8:
DFT (PBE) results for Rb5Ga2Sn4 after structural relaxation.

The calculation puts the formation energy at -18 meV per atom. The calculation puts the total energy at -2.46 eV per atom.

The structure belongs to space group Immm (No. 71); the cell edges are 4.033, 10.542 and 21.711 Å and the angles 90.00°, 90.00° and 90.00°. Symmetry generates all atoms from Rb at (0.000, 0.000, 0.000), Rb at (0.000, 0.282, 0.339), Ga at (0.000, 0.500, 0.072), Sn at (0.000, 0.145, 0.500) and Sn at (0.000, 0.500, 0.199).

---

Entry 9:
DFT (PBE) results for NaIn4N2 after structural relaxation.

The calculation puts the total energy at -3.99 eV per atom.

The structure belongs to space group P1 (No. 1); the cell edges are 3.607, 6.340 and 6.528 Å and the angles 85.93°, 89.62° and 89.78°. Symmetry generates all atoms from Na at (0.000, 0.000, 0.000), In at (0.251, 0.525, 0.819), In at (0.252, 0.201, 0.534), In at (0.741, 0.798, 0.464), In at (0.742, 0.475, 0.180), N at (0.237, 0.849, 0.661) and N at (0.756, 0.151, 0.338).

---

Entry 10:
DFT (PBE) results for Tb4PrCu4 after structural relaxation.

The calculation puts the formation energy at -21 meV per atom. The calculation puts the total energy at -4.43 eV per atom.

The structure belongs to space group P4_2/n (No. 86, origin choice 2); the cell edges are 9.053, 9.053 and 5.656 Å and the angles 90.00°, 90.00° and 90.00°. Symmetry generates all atoms from Tb at (0.080, 0.659, 0.150), Pr at (0.250, 0.250, 0.250) and Cu at (0.029, 0.604, 0.636).

---

Entry 11:
DFT (PBE) results for SrLiCo2 after structural relaxation.

The calculation puts the formation energy at 192 meV per atom. As for the energy above the most stable polymorph in this dataset: 0 kJ/mol of formula units. The calculation puts the total energy at -4.26 eV per atom.

The structure belongs to space group Cm (No. 8); the cell edges are 6.999, 4.038 and 5.970 Å and the angles 90.00°, 112.85° and 90.00°. Symmetry generates all atoms from Sr at (0.000, 0.000, 0.000), Li at (0.192, 0.000, 0.579), Co at (0.298, 0.500, 0.395) and Co at (0.469, 0.000, 0.409).